Entry 1:
Below is an optimized crystal structure of RbRhOF2, with properties calculated at the PBEsol level.

symmetry = P4/mmm
uncorrected formation energy = 431 meV per atom
D(E_F) = 1.3272 states/eV/atom
final energy = -16.1 eV per cell
V = 95.2 Å³ per cell

Lattice parameters (Å, degrees): 4.7789 4.7789 4.1671 90.00 90.00 90.00
With the nearest neighbours (Å) after each atom.
Atoms (fractional coordinates):
Rb 0.0000 0.0000 0.0000  2 O 2.08
Rh 0.5000 0.5000 0.5000  8 F 3.17, 4 O 3.38
O 0.0000 0.0000 0.5000  2 Rb 2.08
F 0.0000 0.5000 0.0000  2 Rb 2.39
F 0.5000 0.0000 0.0000  2 Rb 2.39



Entry 2:
Below is an optimized crystal structure of BaCdRu3, with properties calculated at the PBEsol level.

symmetry = Pm-3m
energy relative to the elements = 2.640 eV/atom
D(E_F) = 1.9577 states/eV/atom
final energy = -20.7 eV per cell
V = 116.4 Å³ per cell

Lattice parameters (Å, degrees): 4.8828 4.8828 4.8828 90.00 90.00 90.00
With the nearest neighbours (Å) after each atom.
Atoms (fractional coordinates):
Ba 0.0000 0.0000 0.0000  6 Ru 2.44
Cd 0.5000 0.5000 0.5000  12 Ru 3.45
Ru 0.0000 0.0000 0.5000  2 Ba 2.44
Ru 0.0000 0.5000 0.0000  2 Ba 2.44
Ru 0.5000 0.0000 0.0000  2 Ba 2.44



Question: final energy of number 1 (RbRhOF2)?
Answer: -16.1 eV per cell



Question: Among the records above, which one has the lowest final energy?
Answer: BaCdRu3



Question: The highest D(E_F) belongs to which entry?
Answer: BaCdRu3



Question: What is the D(E_F) in the second record?
Answer: 1.9577 states/eV/atom